SrCdSi2 | PBE-GGA | relaxed

Lattice parameters (Å, degrees): 6.585 6.585 6.585 146.51 141.09 52.26
Fractional positions:
Sr 0.000 0.000 0.000
Cd 0.275 0.775 0.500
Si 0.626 0.626 0.000
Si 0.762 0.262 0.500

Formation energy without anion corrections, eV per atom: -0.069
SG: Imm2, No. 44